No. 1
Co2Te2Rh: optimized geometry, GGA-PBE.

It has space group P4/mbm (No. 127), with a = 6.952 Å, b = 6.952 Å, c = 3.314 Å, α = 90.00°, β = 90.00° and γ = 90.00°. The asymmetric unit holds Co at (0.126, 0.374, 0.000), Te at (0.175, 0.675, 0.500) and Rh at (0.000, 0.000, 0.000).

The theoretical density comes out at 9871 kg/m³. The density of states at the Fermi level is 15.49 states/eV/cell. As for the total energy: -53.69 eV for the cell shown.

No. 2
Co2Te2Rh: optimized geometry, GGA-PBE.

It has space group I4/mmm (No. 139), with a = 4.816 Å, b = 4.816 Å, c = 7.665 Å, α = 90.00°, β = 90.00° and γ = 90.00°. The asymmetric unit holds Co at (0.000, 0.000, 0.140), Te at (0.000, 0.500, 0.250) and Rh at (0.000, 0.000, 0.500).

The theoretical density comes out at 8891 kg/m³. The density of states at the Fermi level is 12.32 states/eV/cell. As for the total energy: -51.65 eV for the cell shown.

no.,formation energy without anion corrections (meV per atom)
1,200
2,404